# 1
CdSbBr2 | PBE | relaxed

Output
ΔE_f (raw)   0.057 eV per atom
Total magnetization   0.000 μB per atom
E above lowest polymorph   398.6 meV per atom

The structure in POSCAR format:
```
CdSbBr2
1.0
3.435 0.000 0.000
0.000 4.442 0.000
0.000 0.000 7.130
Cd Sb Br
1 1 2
direct
0.000 0.000 0.000
0.000 0.000 0.500
0.500 0.500 0.261
0.500 0.500 0.739
```

***

# 2
Sc2TaAg | PBE | relaxed

Output
Total magnetization   0.000 μB per atom
E above lowest polymorph   308.8 meV per atom

The structure in POSCAR format:
```
Sc2TaAg
1.0
3.178 0.000 0.000
0.000 4.820 0.000
0.000 0.000 5.237
Sc Ta Ag
2 1 1
direct
0.000 0.000 0.000
0.500 0.000 0.500
0.000 0.500 0.500
0.500 0.500 0.000
```

***

# 3
K5Np3Br12 | PBE | relaxed

Output
ΔE_f (raw)   -1.269 eV per atom
Total magnetization   0.700 μB per atom

The structure in POSCAR format:
```
K5Np3Br12
1.0
-9.152 9.152 9.152
9.152 -9.152 9.152
9.152 9.152 -9.152
K Np Br
20 12 48
direct
0.000 0.000 0.000
0.000 0.000 0.500
0.000 0.500 0.000
0.000 0.500 0.500
0.125 0.750 0.875
0.125 0.875 0.250
0.250 0.125 0.875
0.250 0.625 0.375
0.375 0.250 0.625
0.375 0.625 0.750
0.500 0.000 0.000
0.500 0.000 0.500
0.500 0.500 0.000
0.500 0.500 0.500
0.625 0.375 0.250
0.625 0.750 0.375
0.750 0.375 0.625
0.750 0.875 0.125
0.875 0.125 0.750
0.875 0.250 0.125
0.125 0.250 0.375
0.125 0.375 0.750
0.250 0.375 0.125
0.250 0.875 0.625
0.375 0.125 0.250
0.375 0.750 0.125
0.625 0.250 0.875
0.625 0.875 0.750
0.750 0.125 0.375
0.750 0.625 0.875
0.875 0.625 0.250
0.875 0.750 0.625
0.065 0.236 0.132
0.065 0.329 0.933
0.067 0.632 0.396
0.067 0.935 0.671
0.104 0.736 0.671
0.104 0.868 0.433
0.132 0.065 0.236
0.132 0.567 0.896
0.171 0.236 0.604
0.171 0.435 0.567
0.236 0.132 0.065
0.236 0.604 0.171
0.264 0.329 0.896
0.264 0.435 0.368
0.329 0.896 0.264
0.329 0.933 0.065
0.368 0.264 0.435
0.368 0.604 0.933
0.396 0.067 0.632
0.396 0.829 0.764
0.433 0.104 0.868
0.433 0.829 0.565
0.435 0.368 0.264
0.435 0.567 0.171
0.565 0.433 0.829
0.565 0.632 0.736
0.567 0.171 0.435
0.567 0.896 0.132
0.604 0.171 0.236
0.604 0.933 0.368
0.632 0.396 0.067
0.632 0.736 0.565
0.671 0.067 0.935
0.671 0.104 0.736
0.736 0.565 0.632
0.736 0.671 0.104
0.764 0.396 0.829
0.764 0.868 0.935
0.829 0.565 0.433
0.829 0.764 0.396
0.868 0.433 0.104
0.868 0.935 0.764
0.896 0.132 0.567
0.896 0.264 0.329
0.933 0.065 0.329
0.933 0.368 0.604
0.935 0.671 0.067
0.935 0.764 0.868
```